No. 1
HoEr2In4 | Alexandria | GGA-PBE | relaxed; ρ = 8.0 g cm⁻³; space-group type = No. 139; uncorrected energy = -53.72 eV per cell; formation energy from the elements = -314 meV/atom
1.0
7.384 0.000 0.000
0.000 7.384 0.000
0.000 0.000 7.342
Ho Er In
2 4 8
Direct
0.000 0.000 0.000 Ho
0.500 0.500 0.500 Ho
0.000 0.500 0.000 Er
0.000 0.500 0.500 Er
0.500 0.000 0.000 Er
0.500 0.000 0.500 Er
0.250 0.250 0.250 In
0.250 0.250 0.750 In
0.250 0.750 0.250 In
0.250 0.750 0.750 In
0.750 0.250 0.250 In
0.750 0.250 0.750 In
0.750 0.750 0.250 In
0.750 0.750 0.750 In

No. 2
Ho5ErIn2 | Alexandria | GGA-PBE | relaxed; ρ = 9.1 g cm⁻³; space-group type = No. 55; energy above the most stable polymorph in this dataset = 0.0 kJ per mole of atoms; uncorrected energy = -70.09 eV per cell; formation energy from the elements = -264 meV/atom
1.0
6.821 0.000 0.000
0.000 13.648 0.000
0.000 0.000 4.806
Ho Er In
10 2 4
Direct
0.000 0.000 0.000 Ho
0.000 0.250 0.000 Ho
0.000 0.750 0.000 Ho
0.250 0.125 0.500 Ho
0.250 0.625 0.500 Ho
0.500 0.250 0.000 Ho
0.500 0.500 0.000 Ho
0.500 0.750 0.000 Ho
0.750 0.375 0.500 Ho
0.750 0.875 0.500 Ho
0.000 0.500 0.000 Er
0.500 0.000 0.000 Er
0.249 0.375 0.500 In
0.251 0.875 0.500 In
0.749 0.125 0.500 In
0.751 0.625 0.500 In

No. 3
Ho5Er4In | Alexandria | GGA-PBE | relaxed; ρ = 8.9 g cm⁻³; space-group type = No. 123; energy above the most stable polymorph in this dataset = 0.0 kJ per mole of atoms; uncorrected energy = -44.65 eV per cell; formation energy from the elements = -77 meV/atom
1.0
3.517 0.000 0.000
0.000 3.517 0.000
0.000 0.000 24.239
Ho Er In
5 4 1
Direct
0.000 0.000 0.000 Ho
0.000 0.000 0.206 Ho
0.000 0.000 0.412 Ho
0.000 0.000 0.588 Ho
0.000 0.000 0.794 Ho
0.500 0.500 0.103 Er
0.500 0.500 0.309 Er
0.500 0.500 0.691 Er
0.500 0.500 0.897 Er
0.500 0.500 0.500 In

No. 4
Ho4ErIn3 | Alexandria | GGA-PBE | relaxed; ρ = 8.8 g cm⁻³; space-group type = No. 166; energy above the most stable polymorph in this dataset = 0.0 kJ per mole of atoms; uncorrected energy = -33.59 eV per cell; formation energy from the elements = -313 meV/atom
1.0
2.664 1.538 9.025
-2.664 1.538 9.025
0.000 -3.076 9.025
Ho Er In
4 1 3
Direct
0.114 0.114 0.114 Ho
0.371 0.371 0.371 Ho
0.629 0.629 0.629 Ho
0.886 0.886 0.886 Ho
0.500 0.500 0.500 Er
0.000 0.000 0.000 In
0.236 0.236 0.236 In
0.764 0.764 0.764 In

No. 5
Ho3Er2In | Alexandria | GGA-PBE | relaxed; ρ = 9.0 g cm⁻³; space-group type = No. 65; energy above the most stable polymorph in this dataset = 0.0 kJ per mole of atoms; uncorrected energy = -53.16 eV per cell; formation energy from the elements = -163 meV/atom
1.0
4.843 0.000 0.000
0.000 14.923 0.000
0.000 0.000 4.827
Ho Er In
6 4 2
Direct
0.000 0.000 0.000 Ho
0.000 0.331 0.000 Ho
0.000 0.669 0.000 Ho
0.500 0.169 0.000 Ho
0.500 0.500 0.000 Ho
0.500 0.831 0.000 Ho
0.000 0.162 0.500 Er
0.000 0.838 0.500 Er
0.500 0.338 0.500 Er
0.500 0.662 0.500 Er
0.000 0.500 0.500 In
0.500 0.000 0.500 In

No. 6
Ho2Er5In4 | Alexandria | GGA-PBE | relaxed; ρ = 7.7 g cm⁻³; space-group type = No. 71; energy above the most stable polymorph in this dataset = 30.0 kJ per mole of atoms; uncorrected energy = -41.99 eV per cell; formation energy from the elements = 85 meV/atom
1.0
-2.590 5.179 6.538
2.590 -5.179 6.538
2.590 5.179 -6.538
Ho Er In
2 5 4
Direct
0.168 0.168 0.000 Ho
0.832 0.832 0.000 Ho
0.000 0.500 0.500 Er
0.119 0.776 0.343 Er
0.433 0.776 0.657 Er
0.567 0.224 0.343 Er
0.881 0.224 0.657 Er
0.214 0.000 0.214 In
0.392 0.392 0.000 In
0.608 0.608 0.000 In
0.786 0.000 0.786 In

No. 7
Ho5Er2In4 | Alexandria | GGA-PBE | relaxed; ρ = 8.9 g cm⁻³; space-group type = No. 10; energy above the most stable polymorph in this dataset = 0.0 kJ per mole of atoms; uncorrected energy = -45.55 eV per cell; formation energy from the elements = -235 meV/atom
1.0
8.564 0.000 0.000
0.000 3.403 0.000
-1.120 0.000 10.413
Ho Er In
5 2 4
Direct
0.000 0.000 0.000 Ho
0.035 0.000 0.332 Ho
0.336 0.000 0.855 Ho
0.664 0.000 0.145 Ho
0.965 0.000 0.668 Ho
0.415 0.000 0.360 Er
0.585 0.000 0.640 Er
0.254 0.500 0.575 In
0.302 0.500 0.117 In
0.698 0.500 0.883 In
0.746 0.500 0.425 In

No. 8
Ho5Er2In | Alexandria | GGA-PBE | relaxed; ρ = 8.9 g cm⁻³; space-group type = No. 42; uncorrected energy = -35.64 eV per cell; formation energy from the elements = -111 meV/atom
1.0
0.000 5.563 6.045
3.520 0.000 6.045
3.520 5.563 0.000
Ho Er In
5 2 1
Direct
0.000 0.000 0.000 Ho
0.086 0.086 0.414 Ho
0.519 0.993 0.481 Ho
0.586 0.586 0.914 Ho
0.993 0.519 0.007 Ho
0.104 0.575 0.425 Er
0.575 0.104 0.896 Er
0.510 0.510 0.490 In

no.,Fermi-level density of states (states/eV per cell)
1,10.71
2,20.44
3,12.96
4,10.27
5,12.33
6,11.10
7,12.19
8,9.55